A.
This record from Alexandria describes an optimized crystal structure of Pm4Ag3Pd. The functional is PBE.

Lattice parameters (Å, degrees): 3.6974 5.2414 10.4478 90.00 90.00 90.00
With the nearest neighbours (Å) after each atom.
Space group Pmmm (No. 47)
One atom of each set of equivalent atoms:
Pm 0.0000 0.0000 0.0000  4 Pd 3.21, 4 Ag 3.23
Pm 0.0000 0.0000 0.5000  8 Ag 3.17-3.21
Pm 0.0000 0.5000 0.2369  2 Pd 3.09, 6 Ag 3.21-3.31
Ag 0.5000 0.0000 0.2536  8 Pm 3.17-3.23
Ag 0.5000 0.5000 0.5000  8 Pm 3.21-3.31
Pd 0.5000 0.5000 0.0000  8 Pm 3.09-3.21



B.
This record from Alexandria describes an optimized crystal structure of Pm4Ag3Pd. The functional is PBE.

Lattice parameters (Å, degrees): 3.8791 4.8508 11.1088 90.00 90.00 90.00
With the nearest neighbours (Å) after each atom.
Space group Pmm2 (No. 25)
One atom of each set of equivalent atoms:
Pm 0.0000 0.0000 0.0000  2 Pd 3.05, 5 Ag 3.16-3.24
Pm 0.0000 0.5000 0.2692  3 Ag 3.09-3.13, 4 Pd 3.17
Pm 0.5000 0.0000 0.4804  1 Pd 2.98, 6 Ag 3.19-3.20
Pm 0.5000 0.5000 0.7744  7 Ag 3.10-3.19
Ag 0.0000 0.0000 0.7085  2 Ag 2.99, 7 Pm 3.19-3.24
Ag 0.0000 0.5000 0.5510  2 Ag 2.99, 7 Pm 3.13-3.20
Ag 0.5000 0.5000 0.0530  2 Pd 3.00, 7 Pm 3.09-3.16
Pd 0.5000 0.0000 0.2123  7 Pm 2.98-3.17, 2 Ag 3.00



The least stable of them is A.



A.
This record from Alexandria describes an optimized crystal structure of PmAg3Pd. The functional is PBE.

Lattice parameters (Å, degrees): 5.2848 5.2848 18.5234 90.00 90.00 90.00
With the nearest neighbours (Å) after each atom.
Space group I-4m2 (No. 119)
One atom of each set of equivalent atoms:
Pm 0.0000 0.0000 0.1883  2 Pd 2.88, 4 Ag 3.19
Ag 0.0000 0.2480 0.6234  2 Ag 2.62-2.66, 2 Pd 2.63-2.70
Ag 0.0000 0.5000 0.0683  2 Pd 2.93, 4 Ag 3.12
Pd 0.0000 0.0000 0.5000  8 Ag 2.63-2.93
Pd 0.0000 0.5000 0.7500  4 Ag 2.70, 4 Pm 2.88



B.
This record from Alexandria describes an optimized crystal structure of PmAg3Pd. The functional is PBE.

Lattice parameters (Å, degrees): 5.3667 5.5586 6.9448 90.00 94.25 90.00
With the nearest neighbours (Å) after each atom.
Space group P2_1/m (No. 11)
One atom of each set of equivalent atoms:
Pm 0.1516 0.2500 0.3567  4 Pd 2.96-3.01, 5 Ag 3.25-3.29
Ag 0.0951 0.7500 0.0910  1 Pd 2.77, 4 Ag 2.88-2.95
Ag 0.3659 0.0052 0.8118  5 Ag 2.72-2.95, 2 Pd 2.83-2.90
Pd 0.3330 0.7500 0.4582  5 Ag 2.77-2.90, 4 Pm 2.96-3.01



The least stable of them is A.



A.
This record from Alexandria describes an optimized crystal structure of Pm3Ag4Pd2. The functional is PBE.

Lattice parameters (Å, degrees): 10.3536 4.6454 9.2861 90.00 110.85 90.00
With the nearest neighbours (Å) after each atom.
Space group C2/m (No. 12)
One atom of each set of equivalent atoms:
Pm 0.0000 0.0000 0.0000  6 Ag 3.13-3.17, 4 Pd 3.43
Pm 0.1299 0.0000 0.6959  3 Pd 3.09-3.13, 7 Ag 3.14-3.36
Ag 0.1793 0.5000 0.9451  1 Pd 2.70, 2 Ag 2.74
Ag 0.2153 0.0000 0.4026  3 Pd 2.78-2.95, 2 Ag 2.87
Pd 0.0669 0.5000 0.2892  4 Ag 2.70-2.95



B.
This record from Alexandria describes an optimized crystal structure of Pm3Ag4Pd2. The functional is PBE.

Lattice parameters (Å, degrees): 5.3235 5.3373 8.6516 87.10 72.16 60.11
With the nearest neighbours (Å) after each atom.
Space group P-1 (No. 2)
One atom of each set of equivalent atoms:
Pm 0.0000 0.0000 0.0000  2 Pd 2.84, 8 Ag 3.07-3.12
Pm 0.2779 0.0897 0.3541  4 Pd 2.92-3.14, 4 Ag 3.08-3.22
Ag 0.3415 0.3286 0.9882  1 Pd 2.94, 4 Ag 2.98-3.09, 4 Pm 3.07-3.22
Ag 0.3735 0.5806 0.6724  2 Ag 2.85-2.98, 3 Pd 3.06-3.15, 4 Pm 3.08-3.12
Pd 0.0148 0.2660 0.7070  5 Pm 2.84-3.14, 4 Ag 2.94-3.15



The least stable of them is A.



A.
This record from Alexandria describes an optimized crystal structure of PmSmAgPd. The functional is PBE.

Lattice parameters (Å, degrees): 4.7778 3.8614 10.9537 90.00 90.00 90.00
With the nearest neighbours (Å) after each atom.
Space group Amm2 (No. 38)
One atom of each set of equivalent atoms:
Pm 0.0000 0.0000 0.0000  3 Pd 3.04-3.11, 4 Ag 3.14
Sm 0.5000 0.0000 0.2781  3 Ag 3.08, 4 Pd 3.13
Ag 0.5000 0.0000 0.5593  2 Pd 2.98, 3 Sm 3.08, 4 Pm 3.14
Pd 0.0000 0.0000 0.7226  2 Ag 2.98, 3 Pm 3.04-3.11, 4 Sm 3.13



B.
This record from Alexandria describes an optimized crystal structure of PmSmAgPd. The functional is PBE.

Lattice parameters (Å, degrees): 7.3107 7.3107 7.3107 90.00 90.00 90.00
With the nearest neighbours (Å) after each atom.
Space group F-43m (No. 216)
One atom of each set of equivalent atoms:
Pm 0.0000 0.0000 0.0000  4 Ag 3.17, 4 Pd 3.17
Sm 0.0000 0.0000 0.5000  4 Pd 3.17, 4 Ag 3.17
Ag 0.2500 0.2500 0.2500  4 Pm 3.17, 4 Sm 3.17
Pd 0.2500 0.2500 0.7500  4 Pm 3.17, 4 Sm 3.17



The least stable of them is B.



A.
This record from Alexandria describes an optimized crystal structure of TbPmAgPd. The functional is PBE.

Lattice parameters (Å, degrees): 7.2518 7.2518 7.2518 90.00 90.00 90.00
With the nearest neighbours (Å) after each atom.
Space group F-43m (No. 216)
One atom of each set of equivalent atoms:
Tb 0.0000 0.0000 0.0000  4 Ag 3.14, 4 Pd 3.14
Pm 0.0000 0.0000 0.5000  4 Pd 3.14, 4 Ag 3.14
Ag 0.2500 0.2500 0.7500  4 Pm 3.14, 4 Tb 3.14
Pd 0.2500 0.2500 0.2500  4 Tb 3.14, 4 Pm 3.14



B.
This record from Alexandria describes an optimized crystal structure of TbPmAgPd. The functional is PBE.

Lattice parameters (Å, degrees): 4.7631 3.8172 10.8529 90.00 90.00 90.00
With the nearest neighbours (Å) after each atom.
Space group Amm2 (No. 38)
One atom of each set of equivalent atoms:
Tb 0.0000 0.0000 0.0000  3 Ag 3.04-3.06, 4 Pd 3.11
Pm 0.5000 0.0000 0.7214  3 Pd 2.99-3.10, 4 Ag 3.12
Ag 0.0000 0.0000 0.2819  2 Pd 2.98, 3 Tb 3.04-3.06, 4 Pm 3.12
Pd 0.5000 0.0000 0.4462  2 Ag 2.98, 3 Pm 2.99-3.10, 4 Tb 3.11



The least stable of them is A.



A.
This record from Alexandria describes an optimized crystal structure of PmTmAgPd. The functional is PBE.

Lattice parameters (Å, degrees): 3.5732 3.5732 7.2867 90.00 90.00 90.00
With the nearest neighbours (Å) after each atom.
Space group P4mm (No. 99)
One atom of each set of equivalent atoms:
Pm 0.0000 0.0000 0.0000  4 Pd 3.16, 4 Ag 3.25, 1 Tm 3.48
Tm 0.0000 0.0000 0.4775  4 Pd 2.98, 4 Ag 3.08
Ag 0.5000 0.5000 0.7197  4 Tm 3.08, 4 Pm 3.25, 1 Pd 3.34
Pd 0.5000 0.5000 0.2614  4 Tm 2.98, 4 Pm 3.16



B.
This record from Alexandria describes an optimized crystal structure of PmTmAgPd. The functional is PBE.

Lattice parameters (Å, degrees): 7.1913 7.1913 7.1913 90.00 90.00 90.00
With the nearest neighbours (Å) after each atom.
Space group F-43m (No. 216)
One atom of each set of equivalent atoms:
Pm 0.0000 0.0000 0.0000  4 Pd 3.11, 4 Ag 3.11
Tm 0.0000 0.0000 0.5000  4 Ag 3.11, 4 Pd 3.11
Ag 0.2500 0.2500 0.7500  4 Pm 3.11, 4 Tm 3.11
Pd 0.2500 0.2500 0.2500  4 Tm 3.11, 4 Pm 3.11



The least stable of them is B.